(1)
Computed, not measured: a relaxed structure of NiAg2Br at the PBEsol level of DFT.

Computed properties:
VASP energy, eV for the cell shown: -12.4
Energy relative to the elements, uncorrected, eV/atom: 0.557
Energy above the lowest structure with this stoichiometry, kJ/mol of atoms: 31.42
Calculated density, Mg/m³: 8.62

abc: 4.5880 4.5880 4.5880
angles: 60.00 60.00 60.00
With the nearest neighbours (Å) after each atom.
Atoms (fractional coordinates):
Ag  0.2500  0.2500  0.2500  4 Br 2.81, 4 Ni 2.81
Br  0.0000  0.0000  0.0000  8 Ag 2.81
Ag  0.7500  0.7500  0.7500  4 Br 2.81, 4 Ni 2.81
Ni  0.5000  0.5000  0.5000  8 Ag 2.81

***

(2)
Computed, not measured: a relaxed structure of NaHg2Bi2 at the PBEsol level of DFT.

Computed properties:
VASP energy, eV for the cell shown: -11.5
Calculated density, Mg/m³: 9.19
Energy relative to the elements, eV/atom: -0.084

abc: 4.8154 4.8154 7.3940
angles: 109.00 109.00 90.00
With the nearest neighbours (Å) after each atom.
Atoms (fractional coordinates):
Na  0.0000  0.0000  0.0000  8 Hg 3.66, 8 Bi 4.07
Hg  0.6029  0.6029  0.2059  1 Hg 2.70
Bi  0.7500  0.2500  0.5000  4 Hg 3.09, 4 Bi 3.41
Bi  0.2500  0.7500  0.5000  4 Hg 3.09, 4 Bi 3.41
Hg  0.3971  0.3971  0.7941  1 Hg 2.70

***

(3)
Computed, not measured: a relaxed structure of LiEr2Ru at the PBEsol level of DFT.

Computed properties:
VASP energy, eV for the cell shown: -23.1
Calculated density, Mg/m³: 9.47
Energy relative to the elements, eV/atom: -0.281

abc: 4.7874 4.7874 4.7874
angles: 60.00 60.00 60.00
With the nearest neighbours (Å) after each atom.
Atoms (fractional coordinates):
Er  0.2500  0.2500  0.2500  4 Li 2.93, 4 Ru 2.93
Er  0.7500  0.7500  0.7500  4 Ru 2.93, 4 Li 2.93
Li  0.5000  0.5000  0.5000  8 Er 2.93
Ru  0.0000  0.0000  0.0000  8 Er 2.93

***

(4)
Computed, not measured: a relaxed structure of ScTa2CrP at the PBEsol level of DFT.

Computed properties:
VASP energy, eV for the cell shown: -43.5
Calculated density, Mg/m³: 8.46
Energy relative to the elements, eV/atom: 0.856

abc: 4.4409 4.4409 4.8749
angles: 90.00 90.00 90.00
With the nearest neighbours (Å) after each atom.
Atoms (fractional coordinates):
Cr  0.0000  0.0000  0.0000  4 Ta 2.22, 2 Sc 2.44
Ta  0.0000  0.5000  0.0000  2 Cr 2.22
Ta  0.5000  0.0000  0.0000  2 Cr 2.22
P  0.5000  0.5000  0.5000  4 Sc 3.14, 8 Ta 3.30
Sc  0.0000  0.0000  0.5000  2 Cr 2.44

***

(5)
Computed, not measured: a relaxed structure of Mo3AsPd at the PBEsol level of DFT.

Computed properties:
VASP energy, eV for the cell shown: -36.4
Energy above the lowest structure with this stoichiometry, kJ/mol of atoms: 67.46
Calculated density, Mg/m³: 7.67
Energy relative to the elements, eV/atom: 2.001

abc: 4.6656 4.6656 4.6656
angles: 90.00 90.00 90.00
With the nearest neighbours (Å) after each atom.
Atoms (fractional coordinates):
Mo  0.5000  0.0000  0.0000  2 Pd 2.33
As  0.5000  0.5000  0.5000  12 Mo 3.30
Mo  0.0000  0.5000  0.0000  2 Pd 2.33
Pd  0.0000  0.0000  0.0000  6 Mo 2.33
Mo  0.0000  0.0000  0.5000  2 Pd 2.33

***

(6)
Computed, not measured: a relaxed structure of TiTl3Br at the PBEsol level of DFT.

Computed properties:
VASP energy, eV for the cell shown: -14.1
Energy relative to the elements, uncorrected, eV/atom: 0.787
Calculated density, Mg/m³: 6.43

abc: 5.7617 5.7617 5.7617
angles: 90.00 90.00 90.00
With the nearest neighbours (Å) after each atom.
Atoms (fractional coordinates):
Tl  0.0000  0.0000  0.5000  2 Br 2.88
Tl  0.0000  0.5000  0.0000  2 Br 2.88
Br  0.0000  0.0000  0.0000  6 Tl 2.88
Ti  0.5000  0.5000  0.5000  12 Tl 4.07
Tl  0.5000  0.0000  0.0000  2 Br 2.88

***

(7)
Computed, not measured: a relaxed structure of KLi2FeO3 at the PBEsol level of DFT.

Computed properties:
VASP energy, eV for the cell shown: -81.1
Energy relative to the elements, uncorrected, eV/atom: -1.542
Calculated density, Mg/m³: 3.10

abc: 5.3885 5.3885 6.0287
angles: 90.00 90.00 106.27
With the nearest neighbours (Å) after each atom.
Atoms (fractional coordinates):
Fe  0.6851  0.6851  0.2500  4 O 1.84-1.92
Li  0.7286  0.2714  0.0000  3 O 1.97-1.99
Li  0.2714  0.7286  0.5000  3 O 1.97-1.99
O  0.0193  0.6602  0.2500  1 Fe 1.84, 2 Li 1.99
Li  0.7286  0.2714  0.5000  3 O 1.97-1.99
K  0.1765  0.1765  0.2500  4 O 2.58-2.67
K  0.8235  0.8235  0.7500  4 O 2.58-2.67
Li  0.2714  0.7286  0.0000  3 O 1.97-1.99
O  0.5000  0.5000  0.5000  2 Fe 1.92, 2 Li 1.97
O  0.5000  0.5000  0.0000  2 Fe 1.92, 2 Li 1.97
O  0.9807  0.3398  0.7500  1 Fe 1.84, 2 Li 1.99
O  0.6602  0.0193  0.2500  1 Fe 1.84, 2 Li 1.99
Fe  0.3149  0.3149  0.7500  4 O 1.84-1.92
O  0.3398  0.9807  0.7500  1 Fe 1.84, 2 Li 1.99

***

(8)
Computed, not measured: a relaxed structure of ZrNiOF2 at the PBEsol level of DFT.

Computed properties:
VASP energy, eV for the cell shown: -30.6
Energy relative to the elements, uncorrected, eV/atom: -1.248
Calculated density, Mg/m³: 6.02

abc: 3.8483 3.8483 3.7954
angles: 90.00 90.00 90.00
With the nearest neighbours (Å) after each atom.
Atoms (fractional coordinates):
F  0.5000  0.0000  0.0000  2 Ni 1.92
O  0.0000  0.0000  0.5000  2 Ni 1.90
Ni  0.0000  0.0000  0.0000  2 O 1.90, 4 F 1.92
F  0.0000  0.5000  0.0000  2 Ni 1.92
Zr  0.5000  0.5000  0.5000  8 F 2.70, 4 O 2.72

***

(9)
Computed, not measured: a relaxed structure of Be2CuW at the PBEsol level of DFT.

Computed properties:
VASP energy, eV for the cell shown: -25.0
Energy above the lowest structure with this stoichiometry, kJ/mol of atoms: 28.23
Calculated density, Mg/m³: 9.43
Energy relative to the elements, eV/atom: 0.289

abc: 2.6236 2.6236 7.9816
angles: 80.54 80.54 60.00
With the nearest neighbours (Å) after each atom.
Atoms (fractional coordinates):
W  0.0000  0.0000  0.0000  6 Be 2.58, 6 W 2.62
Cu  0.5000  0.5000  0.5000  6 Be 2.37, 6 Cu 2.62
Be  0.2444  0.2444  0.2668  3 Cu 2.37, 3 W 2.58, 6 Be 2.62
Be  0.7556  0.7556  0.7332  3 Cu 2.37, 3 W 2.58, 6 Be 2.62

***

(10)
Computed, not measured: a relaxed structure of ReSbRu at the PBEsol level of DFT.

Computed properties:
VASP energy, eV for the cell shown: -26.9
Energy relative to the elements, uncorrected, eV/atom: 0.400
Energy above the lowest structure with this stoichiometry, kJ/mol of atoms: 0.00
Calculated density, Mg/m³: 14.00

abc: 2.9424 2.9424 6.4715
angles: 90.00 90.00 120.00
With the nearest neighbours (Å) after each atom.
Atoms (fractional coordinates):
Ru  0.3333  0.6667  0.6767  3 Re 2.62, 3 Sb 2.77
Re  0.0000  0.0000  0.9849  3 Ru 2.62, 3 Sb 2.85
Sb  0.6667  0.3333  0.3385  3 Ru 2.77, 3 Re 2.85, 6 Sb 2.94

***

(11)
Computed, not measured: a relaxed structure of CoTcAu2 at the PBEsol level of DFT.

Computed properties:
VASP energy, eV for the cell shown: -24.8
Energy above the lowest structure with this stoichiometry, kJ/mol of atoms: 6.29
Calculated density, Mg/m³: 15.31
Energy relative to the elements, eV/atom: 0.515

abc: 4.3879 4.3879 4.3879
angles: 60.00 60.00 60.00
With the nearest neighbours (Å) after each atom.
Atoms (fractional coordinates):
Au  0.0000  0.0000  0.0000  4 Au 2.69, 4 Tc 2.69
Au  0.7500  0.7500  0.7500  4 Co 2.69, 4 Au 2.69
Co  0.5000  0.5000  0.5000  4 Tc 2.69, 4 Au 2.69
Tc  0.2500  0.2500  0.2500  4 Au 2.69, 4 Co 2.69

***

(12)
Computed, not measured: a relaxed structure of OsBrCl2 at the PBEsol level of DFT.

Computed properties:
VASP energy, eV for the cell shown: -17.4
Energy relative to the elements, uncorrected, eV/atom: 0.180
Energy above the lowest structure with this stoichiometry, kJ/mol of atoms: 0.00
Calculated density, Mg/m³: 5.76

abc: 3.3631 6.0230 5.9580
angles: 120.48 106.39 90.01
With the nearest neighbours (Å) after each atom.
Atoms (fractional coordinates):
Os  0.4911  0.3581  0.9820  4 Cl 2.36, 2 Br 2.54-2.55
Br  0.1620  0.6869  0.3241  2 Os 2.54-2.55
Cl  0.8476  0.3641  0.6950  2 Os 2.36
Cl  0.9994  0.0909  0.9989  2 Os 2.36